Entry 1:
## KLi2UCl8 (PBE-GGA)

Data for a relaxed KLi2UCl8 crystal.

abc: 6.370 6.360 9.263
angles: 89.98 89.98 79.23
Site moments in Bohr magnetons follow the coordinates.
Fractional positions:
K 0.000 0.000 0.500  0.00
Li 0.500 0.500 0.659  0.00
Li 0.500 0.500 0.341  0.00
U 0.000 0.000 0.000  1.17
Cl 0.219 0.777 0.198  -0.02
Cl 0.745 0.750 0.000  -0.04
Cl 0.781 0.223 0.198  -0.02
Cl 0.781 0.223 0.802  -0.02
Cl 0.255 0.250 0.000  -0.04
Cl 0.219 0.777 0.802  -0.02
Cl 0.679 0.682 0.500  0.00
Cl 0.321 0.318 0.500  0.00

Computed properties:
SG = P2/m
spin magnetization = 0.083 μB/atom
formation energy (no corrections) = -1713 meV/atom
mass density = 2.59 g/cm3
calculated total energy = -4.295 eV per atom

Entry 2:
## DyReBrO4 (PBE-GGA)

Data for a relaxed DyReBrO4 crystal.

abc: 6.407 6.407 6.992
angles: 77.19 77.19 66.90
Site moments in Bohr magnetons follow the coordinates.
Fractional positions:
Dy 0.226 0.226 0.898  0.06
Dy 0.774 0.774 0.102  0.06
Re 0.631 0.631 0.719  0.67
Re 0.369 0.369 0.281  0.67
Br 0.007 0.007 0.245  0.01
Br 0.993 0.993 0.755  0.01
O 0.295 0.295 0.537  0.00
O 0.705 0.705 0.463  0.00
O 0.119 0.479 0.144  0.07
O 0.539 0.539 0.208  0.00
O 0.521 0.881 0.856  0.07
O 0.479 0.119 0.144  0.07
O 0.461 0.461 0.792  0.00
O 0.881 0.521 0.856  0.07

Computed properties:
SG = C2/m
spin magnetization = 0.143 μB/atom
formation energy (no corrections) = -2071 meV/atom
mass density = 6.43 g/cm3
calculated total energy = -7.579 eV per atom

Entry 3:
## Dy2Er2Pt15 (PBE-GGA)

Data for a relaxed Dy2Er2Pt15 crystal.

abc: 7.083 7.083 7.083
angles: 82.08 82.08 82.08
Fractional positions:
Dy 0.363 0.363 0.363
Dy 0.637 0.637 0.637
Er 0.107 0.107 0.107
Er 0.893 0.893 0.893
Pt 0.500 0.000 0.000
Pt 0.000 0.000 0.500
Pt 0.000 0.500 0.000
Pt 0.000 0.686 0.314
Pt 0.686 0.314 0.000
Pt 0.314 0.000 0.686
Pt 0.314 0.686 0.000
Pt 0.686 0.000 0.314
Pt 0.000 0.314 0.686
Pt 0.162 0.653 0.653
Pt 0.653 0.653 0.162
Pt 0.653 0.162 0.653
Pt 0.838 0.347 0.347
Pt 0.347 0.347 0.838
Pt 0.347 0.838 0.347

Computed properties:
SG = R-3m
spin magnetization = 0.000 μB/atom
mass density = 17.21 g/cm3
formation enthalpy at 0 K = -0.72 eV/atom
calculated total energy = -6.454 eV per atom